# 1
Entry from Alexandria: a geometry-optimized RbBP2Cl structure (PBE-GGA).

Calculated values
space-group type	P4/mmm (123)
DOS at the Fermi energy	0.439	states/eV/atom
E_form (uncorrected)	1.978	eV per atom

Structure (extended XYZ):
```
5
Lattice="-4.209 -4.834 -2.659 5.470 -4.092 -1.220 -0.625 -2.469 5.478" Properties=species:S:1:pos:R:3 pbc="T T T"
Rb 0.000 0.000 0.000
Cl -0.313 -1.235 2.739
B 0.318 -5.697 0.799
P 2.735 -2.046 -0.610
P -2.104 -2.417 -1.330
```

***

# 2
Entry from Alexandria: a geometry-optimized Li2In structure (PBE-GGA).

Calculated values
space-group type	P6_3/mmc (194)
DOS at the Fermi energy	0.462	states/eV/atom
E_form	-0.169	eV per atom

Structure (extended XYZ):
```
12
Lattice="-2.050 2.034 4.870 1.445 -5.459 -0.403 7.417 1.787 2.376" Properties=species:S:1:pos:R:3 pbc="T T T"
Li 1.383 0.200 2.252
Li 5.712 -0.237 2.504
Li 0.000 0.000 0.000
Li 6.387 -2.788 2.315
Li 5.429 -1.838 4.591
Li 0.425 1.150 4.528
Li 3.709 0.894 1.188
Li 1.100 -1.401 4.339
In 0.748 -2.849 1.505
In 3.292 0.543 4.450
In 3.520 -2.181 2.393
In 6.064 1.211 5.338
```

***

# 3
Entry from Alexandria: a geometry-optimized BaSbSe2 structure (PBE-GGA).

Calculated values
space-group type	P4mm (99)
DOS at the Fermi energy	0.392	states/eV/atom
E_form (uncorrected)	-0.973	eV per atom

Structure (extended XYZ):
```
4
Lattice="4.539 0.000 0.000 0.000 4.540 0.000 0.000 0.000 6.495" Properties=species:S:1:pos:R:3 pbc="T T T"
Se 2.269 2.270 2.072
Se 0.000 0.000 5.762
Sb 2.269 2.270 5.899
Ba 0.000 0.000 2.505
```

***

| no. | size of the total moment (μB/cell) |
| --- | --- |
| 1 | 5.00 |
| 2 | 0.00 |
| 3 | 0.00 |